Material: PaFe2SiGe2
Method: DFT, PBE-GGA
State: optimized geometry Values from VASP.

Values from the calculation:
volume	99.9	Å³/cell
energy relative to the elements, uncorrected	-0.104	eV/atom

The structure in Quantum ESPRESSO input format:
```
&SYSTEM
  ibrav = 0, nat = 6, ntyp = 4
/
ATOMIC_SPECIES
Pa 231.04 Pa.upf
Fe 55.84 Fe.upf
Si 28.09 Si.upf
Ge 72.64 Ge.upf
ATOMIC_POSITIONS angstrom
Pa 0.0000 0.0000 0.0000
Fe 0.0000 2.1326 2.7465
Fe 2.1326 0.0000 2.7465
Si 0.0000 0.0000 2.7465
Ge 2.1326 2.1326 1.2735
Ge 2.1326 2.1326 4.2196
CELL_PARAMETERS angstrom
4.2652 0.0000 0.0000
0.0000 4.2652 0.0000
0.0000 0.0000 5.4931
```

Material: Ge2BiAu6
Method: DFT, PBE-GGA
State: optimized geometry Values from VASP.

Values from the calculation:
energy of formation from the pure elements	0.030	eV per atom
volume	188.6	Å³/cell

The structure in Quantum ESPRESSO input format:
```
&SYSTEM
  ibrav = 0, nat = 9, ntyp = 3
/
ATOMIC_SPECIES
Ge 72.64 Ge.upf
Bi 208.98 Bi.upf
Au 196.97 Au.upf
ATOMIC_POSITIONS angstrom
Ge 0.7326 0.0000 3.2288
Ge 8.1329 0.0000 5.3861
Bi 5.3147 0.0000 0.0000
Au 1.0405 0.0000 5.8467
Au 2.1051 0.0000 0.8126
Au 4.4460 0.0000 2.8630
Au 4.4195 0.0000 5.7518
Au 6.7605 0.0000 7.8023
Au 7.8250 0.0000 2.7682
CELL_PARAMETERS angstrom
5.3147 -2.0593 0.0000
5.3147 2.0593 0.0000
-1.7639 0.0000 8.6149
```

Material: Ca2Ac4Tm
Method: DFT, PBE-GGA
State: optimized geometry Values from VASP.

Values from the calculation:
energy of formation from the pure elements	0.288	eV per atom
volume	338.5	Å³/cell

The structure in Quantum ESPRESSO input format:
```
&SYSTEM
  ibrav = 0, nat = 7, ntyp = 3
/
ATOMIC_SPECIES
Ca 40.08 Ca.upf
Ac 227.00 Ac.upf
Tm 168.93 Tm.upf
ATOMIC_POSITIONS angstrom
Ca 1.8979 8.8856 0.0000
Ca 1.8979 -8.8856 0.0000
Ac 1.8979 11.1134 3.1121
Ac 1.8979 1.9386 0.0000
Ac 1.8979 -1.9386 0.0000
Ac 1.8979 -11.1134 3.1121
Tm 1.8979 0.0000 3.1121
CELL_PARAMETERS angstrom
1.8979 -14.3278 0.0000
1.8979 14.3278 0.0000
0.0000 0.0000 6.2243
```

Material: Al2SbMo
Method: DFT, PBE-GGA
State: optimized geometry Values from VASP.

Values from the calculation:
volume	69.7	Å³/cell
energy relative to the elements, uncorrected	0.135	eV/atom

The structure in Quantum ESPRESSO input format:
```
&SYSTEM
  ibrav = 0, nat = 4, ntyp = 3
/
ATOMIC_SPECIES
Al 26.98 Al.upf
Sb 121.76 Sb.upf
Mo 95.94 Mo.upf
ATOMIC_POSITIONS angstrom
Al 0.0000 0.0000 2.1119
Al 0.0000 0.0000 6.6607
Sb 0.0000 2.2614 0.0000
Mo 1.7562 0.0000 0.0000
CELL_PARAMETERS angstrom
-1.7562 2.2614 4.3863
1.7562 -2.2614 4.3863
1.7562 2.2614 -4.3863
```

Material: Tl2PdBr2Cl4
Method: DFT, PBE-GGA
State: optimized geometry Values from VASP.

Values from the calculation:
volume	261.6	Å³/cell
energy relative to the elements, uncorrected	-0.650	eV/atom

The structure in Quantum ESPRESSO input format:
```
&SYSTEM
  ibrav = 0, nat = 9, ntyp = 4
/
ATOMIC_SPECIES
Tl 204.38 Tl.upf
Pd 106.42 Pd.upf
Br 79.90 Br.upf
Cl 35.45 Cl.upf
ATOMIC_POSITIONS angstrom
Tl 3.6040 0.0000 2.5170
Tl 0.0000 3.6040 2.5170
Pd 0.0000 0.0000 0.0000
Br 0.0000 0.0000 2.5011
Br 0.0000 0.0000 7.5671
Cl 1.6606 1.6606 0.0000
Cl 1.9434 -1.9434 5.0341
Cl -1.9434 1.9434 5.0341
Cl 1.9434 1.9434 5.0341
CELL_PARAMETERS angstrom
-3.6040 3.6040 5.0341
3.6040 -3.6040 5.0341
3.6040 3.6040 -5.0341
```

Material: Ba2RhPbBr
Method: DFT, PBE-GGA
State: optimized geometry Values from VASP.

Values from the calculation:
volume	196.1	Å³/cell
energy relative to the elements, uncorrected	-0.766	eV/atom

The structure in Quantum ESPRESSO input format:
```
&SYSTEM
  ibrav = 0, nat = 5, ntyp = 4
/
ATOMIC_SPECIES
Ba 137.33 Ba.upf
Rh 102.91 Rh.upf
Pb 207.20 Pb.upf
Br 79.90 Br.upf
ATOMIC_POSITIONS angstrom
Ba 0.0000 3.0899 0.0000
Ba 3.0899 0.0000 0.0000
Rh 0.0000 0.0000 0.0000
Pb 0.0000 0.0000 2.5677
Br 3.0899 3.0899 2.5677
CELL_PARAMETERS angstrom
6.1797 0.0000 0.0000
0.0000 6.1797 0.0000
0.0000 0.0000 5.1354
```

Material: LiNi2As
Method: DFT, PBE-GGA
State: optimized geometry Values from VASP.

Values from the calculation:
energy of formation from the pure elements	-0.203	eV per atom
volume	48.9	Å³/cell

The structure in Quantum ESPRESSO input format:
```
&SYSTEM
  ibrav = 0, nat = 4, ntyp = 3
/
ATOMIC_SPECIES
Li 6.94 Li.upf
Ni 58.69 Ni.upf
As 74.92 As.upf
ATOMIC_POSITIONS angstrom
Li 0.0000 0.0000 0.0000
Ni 0.0000 0.0000 2.3974
Ni 1.3911 1.8119 1.0931
As 1.3911 1.8119 3.4522
CELL_PARAMETERS angstrom
2.7822 0.0000 0.0000
0.0000 3.6238 0.0000
0.0000 0.0000 4.8453
```

Material: La8OsRh3Br3
Method: DFT, PBE-GGA
State: optimized geometry Values from VASP.

Values from the calculation:
volume	479.5	Å³/cell
energy relative to the elements, uncorrected	-0.958	eV/atom

The structure in Quantum ESPRESSO input format:
```
&SYSTEM
  ibrav = 0, nat = 15, ntyp = 4
/
ATOMIC_SPECIES
La 138.91 La.upf
Os 190.23 Os.upf
Rh 102.91 Rh.upf
Br 79.90 Br.upf
ATOMIC_POSITIONS angstrom
La -0.0484 0.0000 5.4856
La 3.6585 2.1347 5.4861
La 6.0311 2.1347 2.3804
La 2.4171 0.0000 2.4032
La 7.2725 0.0000 5.4632
La 3.6585 -2.1347 5.4861
La 6.0311 -2.1347 2.3804
La 9.7380 0.0000 2.3808
Os -2.4265 0.0000 3.9332
Rh 1.2091 2.0955 3.9332
Rh 1.2091 -2.0955 3.9332
Rh 4.8448 0.0000 3.9332
Br 0.0000 0.0000 0.0000
Br 3.6357 2.0955 0.0000
Br 3.6357 -2.0955 0.0000
CELL_PARAMETERS angstrom
7.2713 -4.1911 0.0000
7.2713 4.1911 0.0000
-4.8531 0.0000 7.8664
```

Material: Tb12Sm7Al
Method: DFT, PBE-GGA
State: optimized geometry Values from VASP.

Values from the calculation:
energy of formation from the pure elements	0.075	eV per atom
volume	649.0	Å³/cell

The structure in Quantum ESPRESSO input format:
```
&SYSTEM
  ibrav = 0, nat = 20, ntyp = 3
/
ATOMIC_SPECIES
Tb 158.93 Tb.upf
Sm 150.36 Sm.upf
Al 26.98 Al.upf
ATOMIC_POSITIONS angstrom
Tb 0.8193 1.4625 0.5261
Tb 3.7100 7.3791 2.3546
Tb 2.6458 4.3105 1.3786
Tb 5.3900 1.0373 6.0739
Tb 5.4523 3.6684 3.7063
Tb 8.5537 7.2863 8.2235
Tb 5.8656 2.9265 0.5506
Tb 8.9670 6.5444 5.0677
Tb 9.0293 9.1756 2.7001
Tb 11.7735 5.9023 7.3954
Tb 10.7092 2.8337 6.4194
Tb 13.5999 8.7503 8.2479
Sm 3.1686 1.1978 3.2678
Sm 5.6849 6.9588 5.0597
Sm 6.9808 4.2109 6.9158
Sm 4.1546 0.0000 0.0000
Sm 7.4385 6.0019 1.8582
Sm 8.7344 3.2540 3.7143
Sm 11.2506 9.0150 5.5062
Al 3.0550 5.1064 4.3870
CELL_PARAMETERS angstrom
8.3092 0.0000 0.0000
2.4382 8.9023 0.0000
3.6718 1.3105 8.7740
```

Record-wise size of the total moment values, in μB per atom: 0.627, 0.000, 0.000, 0.000, 0.000, 0.000, 0.000, 0.039, 0.000